1.
# Re2AgIr PBE optimized geometry
# * energy above the lowest structure with this stoichiometry: 163 meV per atom
# * total DFT energy (no corrections): -8.81 eV per atom
# * energy relative to the elements: 0.35 eV/atom
data_Re2AgIr
_space_group_name_H-M_alt 'P 4/m m m'
_space_group_IT_number 123
_space_group_name_Hall '-P 4 2'
_cell_length_a 2.713
_cell_length_b 2.713
_cell_length_c 8.342
_cell_angle_alpha 90.00
_cell_angle_beta 90.00
_cell_angle_gamma 90.00
loop_
_atom_site_label
_atom_site_fract_x
_atom_site_fract_y
_atom_site_fract_z
Re1 0.000 0.000 0.236
Ag1 0.500 0.500 0.500
Ir1 0.500 0.500 0.000

***

2.
# SrCuRh PBE optimized geometry
# * energy above the lowest structure with this stoichiometry: 47 meV per atom
# * total DFT energy (no corrections): -4.53 eV per atom
# * energy relative to the elements: -0.16 eV/atom
data_SrCuRh
_space_group_name_H-M_alt 'C 1 2/m 1'
_space_group_IT_number 12
_cell_length_a 11.115
_cell_length_b 4.211
_cell_length_c 6.048
_cell_angle_alpha 90.00
_cell_angle_beta 110.77
_cell_angle_gamma 90.00
loop_
_space_group_symop_operation_xyz
'x,y,z'
'-x,-y,-z'
'-x,y,-z'
'x,-y,z'
'x+1/2,y+1/2,z'
'-x+1/2,-y+1/2,-z'
'-x+1/2,y+1/2,-z'
'x+1/2,-y+1/2,z'
loop_
_atom_site_label
_atom_site_fract_x
_atom_site_fract_y
_atom_site_fract_z
Sr1 0.109 0.000 0.305
Cu1 0.214 0.000 0.886
Rh1 0.103 0.500 0.695

***

3.
# Ta11Ru9Rh4 PBE optimized geometry
# * total DFT energy (no corrections): -10.48 eV per atom
# * energy relative to the elements: -0.35 eV/atom
data_Ta11Ru9Rh4
_space_group_name_H-M_alt 'C m m m'
_space_group_IT_number 65
_space_group_name_Hall '-C 2 2'
_cell_length_a 14.057
_cell_length_b 17.729
_cell_length_c 3.091
_cell_angle_alpha 90.00
_cell_angle_beta 90.00
_cell_angle_gamma 90.00
loop_
_atom_site_label
_atom_site_fract_x
_atom_site_fract_y
_atom_site_fract_z
Ta1 0.000 0.000 0.000
Ta2 0.000 0.185 0.000
Ta3 0.000 0.374 0.000
Ta4 0.224 0.000 0.000
Ta5 0.238 0.176 0.000
Ru1 0.000 0.500 0.500
Ru2 0.110 0.090 0.500
Ru3 0.110 0.267 0.500
Rh1 0.161 0.422 0.500

***

4.
# Ca4ZnIr PBE optimized geometry
# * energy above the lowest structure with this stoichiometry: 0 meV per atom
# * total DFT energy (no corrections): -3.30 eV per atom
# * energy relative to the elements: -0.28 eV/atom
data_Ca4ZnIr
_space_group_name_H-M_alt 'C 1 2/c 1'
_space_group_IT_number 15
_cell_length_a 9.259
_cell_length_b 13.643
_cell_length_c 6.357
_cell_angle_alpha 90.00
_cell_angle_beta 118.88
_cell_angle_gamma 90.00
loop_
_space_group_symop_operation_xyz
'x,y,z'
'-x,-y,-z'
'-x,y,-z+1/2'
'x,-y,z+1/2'
'x+1/2,y+1/2,z'
'-x+1/2,-y+1/2,-z'
'-x+1/2,y+1/2,-z+1/2'
'x+1/2,-y+1/2,z+1/2'
loop_
_atom_site_label
_atom_site_fract_x
_atom_site_fract_y
_atom_site_fract_z
Ca1 0.114 0.169 0.080
Ca2 0.214 0.435 0.302
Zn1 0.000 0.366 0.750
Ir1 0.000 0.001 0.250

***

5.
# NaZrB2 PBE optimized geometry
# * energy above the lowest structure with this stoichiometry: 0 meV per atom
# * total DFT energy (no corrections): -5.05 eV per atom
# * energy relative to the elements: 0.75 eV/atom
data_NaZrB2
_space_group_name_H-M_alt 'F m -3 m'
_space_group_IT_number 225
_space_group_name_Hall '-F 4 2 3'
_cell_length_a 5.982
_cell_length_b 5.982
_cell_length_c 5.982
_cell_angle_alpha 90.00
_cell_angle_beta 90.00
_cell_angle_gamma 90.00
loop_
_atom_site_label
_atom_site_fract_x
_atom_site_fract_y
_atom_site_fract_z
Na1 0.000 0.000 0.000
Zr1 0.000 0.000 0.500
B1 0.250 0.250 0.250

***

6.
# HoV2Ga7 PBE optimized geometry
# * total DFT energy (no corrections): -4.18 eV per atom
# * energy relative to the elements: 0.22 eV/atom
data_HoV2Ga7
_space_group_name_H-M_alt 'C m m m'
_space_group_IT_number 65
_space_group_name_Hall '-C 2 2'
_cell_length_a 7.301
_cell_length_b 14.625
_cell_length_c 4.030
_cell_angle_alpha 90.00
_cell_angle_beta 90.00
_cell_angle_gamma 90.00
loop_
_atom_site_label
_atom_site_fract_x
_atom_site_fract_y
_atom_site_fract_z
Ho1 0.000 0.000 0.000
V1 0.000 0.322 0.500
Ga1 0.000 0.217 0.000
Ga2 0.000 0.500 0.500
Ga3 0.175 0.131 0.500

***

7.
# NdEuGaCo PBE optimized geometry
# * total DFT energy (no corrections): -6.40 eV per atom
# * energy relative to the elements: -0.11 eV/atom
data_NdEuGaCo
_space_group_name_H-M_alt 'F -4 3 m'
_space_group_IT_number 216
_space_group_name_Hall 'F -4 2 3'
_cell_length_a 7.214
_cell_length_b 7.214
_cell_length_c 7.214
_cell_angle_alpha 90.00
_cell_angle_beta 90.00
_cell_angle_gamma 90.00
loop_
_atom_site_label
_atom_site_fract_x
_atom_site_fract_y
_atom_site_fract_z
Nd1 0.000 0.000 0.000
Eu1 0.000 0.000 0.500
Ga1 0.250 0.250 0.250
Co1 0.250 0.250 0.750

***

8.
# RbAl2PtSe PBE optimized geometry
# * formation energy (no corrections): -324 meV per atom
# * total DFT energy (no corrections): -3.92 eV per atom
data_RbAl2PtSe
_space_group_name_H-M_alt 'P 4/m m m'
_space_group_IT_number 123
_space_group_name_Hall '-P 4 2'
_cell_length_a 4.792
_cell_length_b 4.792
_cell_length_c 5.850
_cell_angle_alpha 90.00
_cell_angle_beta 90.00
_cell_angle_gamma 90.00
loop_
_atom_site_label
_atom_site_fract_x
_atom_site_fract_y
_atom_site_fract_z
Rb1 0.000 0.000 0.000
Al1 0.000 0.500 0.500
Pt1 0.500 0.500 0.500
Se1 0.500 0.500 0.000

***

9.
# Hg3RuBr PBE optimized geometry
# * formation energy (no corrections): 449 meV per atom
# * energy above the lowest structure with this stoichiometry: 0 meV per atom
# * total DFT energy (no corrections): -1.92 eV per atom
data_Hg3RuBr
_space_group_name_H-M_alt 'P m -3 m'
_space_group_IT_number 221
_space_group_name_Hall '-P 4 2 3'
_cell_length_a 5.313
_cell_length_b 5.313
_cell_length_c 5.313
_cell_angle_alpha 90.00
_cell_angle_beta 90.00
_cell_angle_gamma 90.00
loop_
_atom_site_label
_atom_site_fract_x
_atom_site_fract_y
_atom_site_fract_z
Hg1 0.000 0.000 0.500
Ru1 0.000 0.000 0.000
Br1 0.500 0.500 0.500

***

10.
# LaTb5DyTm2 PBE optimized geometry
# * total DFT energy (no corrections): -4.46 eV per atom
# * energy relative to the elements: 0.17 eV/atom
data_LaTb5DyTm2
_space_group_name_H-M_alt 'C m c 21'
_space_group_IT_number 36
_cell_length_a 5.621
_cell_length_b 19.904
_cell_length_c 10.519
_cell_angle_alpha 90.00
_cell_angle_beta 90.00
_cell_angle_gamma 90.00
loop_
_space_group_symop_operation_xyz
'x,y,z'
'-x,-y,z+1/2'
'-x,y,z'
'x,-y,z+1/2'
'x+1/2,y+1/2,z'
'-x+1/2,-y+1/2,z+1/2'
'-x+1/2,y+1/2,z'
'x+1/2,-y+1/2,z+1/2'
loop_
_atom_site_label
_atom_site_fract_x
_atom_site_fract_y
_atom_site_fract_z
La1 0.000 0.083 0.000
Tb1 0.000 0.021 0.289
Tb2 0.000 0.114 0.576
Tb3 0.000 0.202 0.261
Tb4 0.000 0.220 0.866
Tb5 0.000 0.483 0.576
Dy1 0.000 0.301 0.565
Tm1 0.000 0.386 0.871
Tm2 0.000 0.388 0.285

***

11.
# ScAg5 PBE optimized geometry
# * total DFT energy (no corrections): -3.54 eV per atom
# * energy relative to the elements: -0.11 eV/atom
data_ScAg5
_space_group_name_H-M_alt 'P -6 2 m'
_space_group_IT_number 189
_space_group_name_Hall 'P -6 -2'
_cell_length_a 5.0999
_cell_length_b 5.0999
_cell_length_c 4.9040
_cell_angle_alpha 90.00
_cell_angle_beta 90.00
_cell_angle_gamma 120.00
loop_
_atom_site_label
_atom_site_fract_x
_atom_site_fract_y
_atom_site_fract_z
Sc1 0.0000 0.0000 0.0000
Ag1 0.0000 0.6652 0.5000
Ag2 0.3333 0.6667 0.0000

***

12.
# SrLaCuIr2 PBE optimized geometry
# * total DFT energy (no corrections): -5.33 eV per atom
# * energy relative to the elements: 0.36 eV/atom
data_SrLaCuIr2
_space_group_name_H-M_alt 'P 4/m m m'
_space_group_IT_number 123
_space_group_name_Hall '-P 4 2'
_cell_length_a 4.918
_cell_length_b 4.918
_cell_length_c 4.831
_cell_angle_alpha 90.00
_cell_angle_beta 90.00
_cell_angle_gamma 90.00
loop_
_atom_site_label
_atom_site_fract_x
_atom_site_fract_y
_atom_site_fract_z
Sr1 0.000 0.000 0.000
La1 0.500 0.500 0.000
Cu1 0.500 0.500 0.500
Ir1 0.000 0.500 0.500

***

Number 1: magnetization 0.0 Bohr magnetons per cell, D(E_F) 2.2 states/eV per cell. Number 2: magnetization 0.0 Bohr magnetons per cell, D(E_F) 8.2 states/eV per cell. Number 3: magnetization 0.0 Bohr magnetons per cell, D(E_F) 36.2 states/eV per cell. Number 4: magnetization 0.0 Bohr magnetons per cell, D(E_F) 14.9 states/eV per cell. Number 5: magnetization 0.0 Bohr magnetons per cell, D(E_F) 8.3 states/eV per cell. Number 6: magnetization 5.1 Bohr magnetons per cell, D(E_F) 12.3 states/eV per cell. Number 7: magnetization 23.8 Bohr magnetons per cell, D(E_F) 23.8 states/eV per cell. Number 8: magnetization 0.0 Bohr magnetons per cell, D(E_F) 2.0 states/eV per cell. Number 9: magnetization 1.5 Bohr magnetons per cell, D(E_F) 7.4 states/eV per cell. Number 10: magnetization 0.0 Bohr magnetons per cell, D(E_F) 59.1 states/eV per cell. Number 11: magnetization 0.0 Bohr magnetons per cell, D(E_F) 2.6 states/eV per cell. Number 12: magnetization 0.0 Bohr magnetons per cell, D(E_F) 2.5 states/eV per cell.